# Ce2HRu

A relaxed structure of Ce2HRu (PBE, the Alexandria database).

a = 3.2102 Å, b = 3.2102 Å, c = 6.6388 Å
α = 90.00°, β = 90.00°, γ = 90.00°
Last column: nearest neighbours and their distance in Å.
Atoms (fractional coordinates):
Ce1 0.0000 0.0000 0.2168  4 H 2.69, 1 Ce 2.88, 4 Ru 2.95
Ru1 0.5000 0.5000 0.5000  8 Ce 2.95, 4 Ru 3.21
Ce2 0.0000 0.0000 0.7832  4 H 2.69, 1 Ce 2.88, 4 Ru 2.95
H1 0.5000 0.5000 0.0000  8 Ce 2.69

Calculated values
total magnetization	0.0	μB/cell
energy above the lowest structure with this stoichiometry	0	meV per atom
DOS(E_F)	1.600	states/eV/atom
SG	P4/mmm
crystal system	tetragonal
ρ	9.279	g cm⁻³
raw total energy	-25.502	eV for the cell shown

***

# DySc2Mo

A relaxed structure of DySc2Mo (PBE, the Alexandria database).

a = 3.4279 Å, b = 3.4279 Å, c = 7.8305 Å
α = 90.00°, β = 90.00°, γ = 90.00°
Last column: nearest neighbours and their distance in Å.
Atoms (fractional coordinates):
Dy1 0.5000 0.5000 0.5000  8 Sc 3.41, 4 Dy 3.43
Sc1 0.0000 0.0000 0.8063  4 Mo 2.86, 1 Sc 3.03
Sc2 0.0000 0.0000 0.1937  4 Mo 2.86, 1 Sc 3.03
Mo1 0.5000 0.5000 0.0000  8 Sc 2.86

Calculated values
total magnetization	0.0	μB/cell
energy above the lowest structure with this stoichiometry	0	meV per atom
DOS(E_F)	1.327	states/eV/atom
SG	P4/mmm
crystal system	tetragonal
ρ	6.287	g cm⁻³
ΔH_f (0 K)	0.14	eV/atom
raw total energy	-27.522	eV for the cell shown

***

# RbPrCuSe2

A relaxed structure of RbPrCuSe2 (PBE, the Alexandria database).

a = 4.7425 Å, b = 8.1699 Å, c = 8.5130 Å
α = 99.62°, β = 90.00°, γ = 90.00°
Last column: nearest neighbours and their distance in Å.
Atoms (fractional coordinates):
Cu1 0.0000 0.0000 0.5000  2 Se 2.35
Cu2 0.0000 0.0000 0.0000  2 Se 2.35
Pr1 0.5086 0.0000 0.7500  4 Se 2.97-2.98, 4 Cu 3.16-3.22
Se1 0.3030 0.2301 0.0341  1 Cu 2.35
Pr2 0.4914 0.0000 0.2500  4 Se 2.97-2.98, 4 Cu 3.16-3.22
Se2 0.3030 0.7699 0.4659  1 Cu 2.35
Rb1 0.1820 0.5000 0.7500  6 Se 3.49-3.59
Se3 0.6970 0.7699 0.9659  1 Cu 2.35
Rb2 0.8180 0.5000 0.2500  6 Se 3.49-3.59
Se4 0.6970 0.2301 0.5341  1 Cu 2.35

Calculated values
total magnetization	0.0	μB/cell
formation energy from raw total energies	-1.013	eV/atom
DOS(E_F)	0.470	states/eV/atom
SG	P2/c
crystal system	monoclinic
ρ	4.574	g cm⁻³
raw total energy	-43.753	eV for the cell shown

***

# Y2BeCo

A relaxed structure of Y2BeCo (PBE, the Alexandria database).

a = 6.6390 Å, b = 6.6390 Å, c = 6.6390 Å
α = 147.94°, β = 145.74°, γ = 47.63°
Last column: nearest neighbours and their distance in Å.
Atoms (fractional coordinates):
Y1 0.7484 0.2484 0.5000  4 Co 2.86, 2 Be 2.87
Be1 0.4212 0.4212 0.0000  2 Co 2.13
Y2 0.9991 0.9991 0.0000  2 Co 2.82, 4 Be 2.84
Co1 0.3314 0.8314 0.5000  2 Be 2.13

Calculated values
total magnetization	0.0	μB/cell
DOS(E_F)	0.776	states/eV/atom
SG	Imm2
crystal system	orthorhombic
ρ	4.685	g cm⁻³
ΔH_f (0 K)	-0.01	eV/atom
raw total energy	-23.793	eV for the cell shown

***

# KCdRu

A relaxed structure of KCdRu (PBE, the Alexandria database).

a = 5.1197 Å, b = 5.1197 Å, c = 5.1197 Å
α = 60.00°, β = 60.00°, γ = 60.00°
Last column: nearest neighbours and their distance in Å.
Atoms (fractional coordinates):
Ru1 0.0000 0.0000 0.0000  4 K 3.14
K1 0.7500 0.7500 0.7500  4 Cd 3.14, 4 Ru 3.14
Cd1 0.5000 0.5000 0.5000  4 K 3.14

Calculated values
total magnetization	2.4	μB/cell
energy above the lowest structure with this stoichiometry	1040	meV per atom
DOS(E_F)	1.713	states/eV/atom
SG	F-43m
crystal system	cubic
ρ	4.420	g cm⁻³
ΔH_f (0 K)	1.70	eV/atom
raw total energy	-6.200	eV for the cell shown

***

# ZrCuSb2W

A relaxed structure of ZrCuSb2W (PBE, the Alexandria database).

a = 5.1739 Å, b = 5.1395 Å, c = 5.1739 Å
α = 90.00°, β = 90.00°, γ = 90.00°
Last column: nearest neighbours and their distance in Å.
Atoms (fractional coordinates):
Sb1 0.0000 0.0000 0.5000  2 W 2.59
Cu1 0.5000 0.5000 0.5000  8 Sb 3.65, 4 Zr 3.66
W1 0.0000 0.0000 0.0000  2 Zr 2.57, 4 Sb 2.59
Sb2 0.5000 0.0000 0.0000  2 W 2.59
Zr1 0.0000 0.5000 0.0000  2 W 2.57

Calculated values
total magnetization	0.1	μB/cell
formation energy from raw total energies	0.928	eV/atom
DOS(E_F)	0.971	states/eV/atom
SG	P4/mmm
crystal system	tetragonal
ρ	7.026	g cm⁻³
raw total energy	-29.200	eV for the cell shown

***

Q: What is the formula in the third record?
A: RbPrCuSe2